A plane-wave DFT calculation with GGA+U was carried out for crystalline CaFe2O at its relaxed geometry.

Computed properties:
- raw total energy (eV per atom) = -4.56
- D(E_F) (states/eV/f.u.) = 3.659

a b c (Å): 8.8099 8.8099 8.8099
angles (deg): 90.00 90.00 90.00
Space group Fd-3m (No. 227, origin choice 2)
Inequivalent atoms, fractional coordinates:
Ca: 0.1250 0.1250 0.1250 x8
Fe: 0.0000 0.0000 0.5000 x16
O: 0.1250 0.1250 0.6250 x8